Entry 1:
Cr2CuRh: relaxed, PBE.

Results
- ΔE_f: 0.29 eV per atom
- Crystal system: tetragonal
- Fermi-level density of states: 5.56 states/eV/f.u.

Cell lengths 4.357, 4.357, 2.906 Å; angles 90.00, 90.00, 90.00 degrees
Space group P4/mmm (No. 123)
Inequivalent atoms, fractional coordinates:
Cr 0.000 0.500 0.000
Cu 0.000 0.000 0.500
Rh 0.500 0.500 0.500

Entry 2:
Cr2CuRh: relaxed, PBE.

Results
- ΔE_f: 0.17 eV per atom
- Crystal system: tetragonal
- Fermi-level density of states: 4.75 states/eV/f.u.

Cell lengths 3.580, 3.580, 7.772 Å; angles 90.00, 90.00, 90.00 degrees
Space group I4/mmm (No. 139)
Inequivalent atoms, fractional coordinates:
Cr 0.000 0.500 0.250
Cu 0.000 0.000 0.000
Rh 0.000 0.000 0.500